Material: HoAuI
Method: DFT, PBE-GGA
State: optimized geometry

Output
Formation energy (no corrections) = -919 meV/atom

abc: 3.8142 3.9692 20.2207
angles: 95.63 40.97 90.00
Fractional positions:
Ho1 0.3943 0.1693 0.3387
Ho2 0.6057 0.8307 0.6613
Au1 0.4847 0.2833 0.5666
Au2 0.5153 0.7167 0.4334
I1 0.6071 0.0803 0.1606
I2 0.3929 0.9197 0.8394

***

Material: Ho2AuI
Method: DFT, PBE-GGA
State: optimized geometry

Output
Formation energy (no corrections) = -790 meV/atom

abc: 4.0846 4.0846 8.4483
angles: 76.01 76.01 60.00
Fractional positions:
Ho1 0.0671 0.0671 0.7987
Ho2 0.2665 0.2665 0.2004
Au1 0.6677 0.6677 0.9970
I1 0.4987 0.4987 0.5039

***

Material: RbHoAu2I6
Method: DFT, PBE-GGA
State: optimized geometry

Output
Formation energy (no corrections) = -815 meV/atom

abc: 7.9398 7.9135 9.7566
angles: 89.96 113.48 120.30
Fractional positions:
Rb1 0.9967 0.4978 0.4803
Ho1 0.9965 0.9978 0.9803
Au1 0.4609 0.7341 0.1752
Au2 0.5324 0.2617 0.7851
I1 0.5531 0.9299 0.7694
I2 0.4399 0.0657 0.1916
I3 0.8228 0.7599 0.1895
I4 0.1372 0.3782 0.1873
I5 0.8559 0.6174 0.7731
I6 0.1701 0.2352 0.7708

***

Material: Ho3In2Au
Method: DFT, PBE-GGA
State: optimized geometry

Output
DFT total energy = -26.093 eV for the cell shown

abc: 3.5442 3.5442 12.0661
angles: 90.00 90.00 90.00
Fractional positions:
Ho1 0.0000 0.0000 0.0000
Ho2 0.0000 0.0000 0.6486
Ho3 0.0000 0.0000 0.3514
In1 0.5000 0.5000 0.8251
In2 0.5000 0.5000 0.1749
Au1 0.5000 0.5000 0.5000

***

Material: Ho5InAu
Method: DFT, PBE-GGA
State: optimized geometry

Output
DFT total energy = -61.154 eV for the cell shown

abc: 6.4367 6.4367 10.0050
angles: 87.22 87.22 91.85
Fractional positions:
Ho1 0.0652 0.6168 0.1582
Ho2 0.2299 0.4003 0.5038
Ho3 0.6168 0.0652 0.6582
Ho4 0.8606 0.1394 0.2500
Ho5 0.5997 0.7701 0.9962
Ho6 0.4003 0.2299 0.0038
Ho7 0.1394 0.8606 0.7500
Ho8 0.3832 0.9348 0.3418
Ho9 0.7701 0.5997 0.4962
Ho10 0.9348 0.3832 0.8418
In1 0.5240 0.4760 0.2500
In2 0.4760 0.5240 0.7500
Au1 0.0000 0.0000 0.0000
Au2 0.0000 0.0000 0.5000

***

Material: Ho6InAu5
Method: DFT, PBE-GGA
State: optimized geometry

Output
DFT total energy = -56.102 eV for the cell shown

abc: 5.0872 8.8480 8.8480
angles: 119.86 106.73 106.73
Fractional positions:
Au1 0.5000 0.1557 0.8443
Au2 0.0000 0.3326 0.6674
Au3 0.5000 0.5000 0.5000
Au4 0.0000 0.6674 0.3326
Au5 0.5000 0.8443 0.1557
Ho1 0.2555 0.0845 0.4265
Ho2 0.7445 0.5735 0.9155
Ho3 0.7628 0.2628 0.2628
Ho4 0.2372 0.7372 0.7372
Ho5 0.2555 0.4265 0.0845
Ho6 0.7445 0.9155 0.5735
In1 0.0000 0.0000 0.0000

***

Material: HoIn2Au
Method: DFT, PBE-GGA
State: optimized geometry

Output
DFT total energy = -30.967 eV for the cell shown

abc: 4.7402 4.7402 8.9254
angles: 105.40 105.40 90.00
Fractional positions:
Ho1 0.1347 0.1347 0.2694
Ho2 0.8653 0.8653 0.7306
In1 0.0000 0.5000 0.0000
In2 0.5000 0.0000 0.0000
In3 0.3574 0.3574 0.7148
In4 0.6426 0.6426 0.2852
Au1 0.2500 0.7500 0.5000
Au2 0.7500 0.2500 0.5000

***

Material: Ho3InAu
Method: DFT, PBE-GGA
State: optimized geometry

Output
DFT total energy = -87.354 eV for the cell shown

abc: 8.0178 8.0178 11.0975
angles: 87.86 87.86 50.13
Fractional positions:
Ho1 0.8465 0.7846 0.8304
Ho2 0.2154 0.1535 0.6696
Ho3 0.1535 0.2154 0.1696
Ho4 0.7846 0.8465 0.3304
Ho5 0.6501 0.5847 0.6649
Ho6 0.4153 0.3499 0.8351
Ho7 0.3499 0.4153 0.3351
Ho8 0.5847 0.6501 0.1649
Ho9 0.2587 0.8483 0.9176
Ho10 0.1517 0.7413 0.5824
Ho11 0.8483 0.2587 0.4176
Ho12 0.7413 0.1517 0.0824
In1 0.8649 0.3948 0.9219
In2 0.6052 0.1351 0.5781
In3 0.1351 0.6052 0.0781
In4 0.3948 0.8649 0.4219
Au1 0.0000 0.5000 0.5000
Au2 0.5000 0.0000 0.0000
Au3 0.1120 0.8880 0.2500
Au4 0.8880 0.1120 0.7500